No. 1
The following is a DFT calculation (PBE) of an optimized crystal structure of PrMgInGa.

Calculated values
DOS(E_F) ... 2.3 states/eV/f.u.
ΔE_f ... -40 kJ per mole of atoms
Offset from the most stable computed form ... 0.000 eV/atom
Theoretical density ... 5.97 g cm⁻³

Unit cell a=4.498 b=4.562 c=4.741 alpha=90.00 beta=90.00 gamma=90.00
Fractional positions:
Pr1 0.500 0.500 0.000
Mg1 0.500 0.000 0.500
In1 0.000 0.500 0.500
Ga1 0.000 0.000 0.000

---

No. 2
The following is a DFT calculation (PBE) of an optimized crystal structure of PrMgInGa.

Calculated values
DOS(E_F) ... 2.6 states/eV/f.u.
ΔE_f ... -32 kJ per mole of atoms
Offset from the most stable computed form ... 0.082 eV/atom
Theoretical density ... 5.90 g cm⁻³

Unit cell a=5.182 b=5.182 c=5.182 alpha=60.00 beta=60.00 gamma=60.00
Fractional positions:
Pr1 0.000 0.000 0.000
Mg1 0.500 0.500 0.500
Ga1 0.250 0.250 0.250
In1 0.750 0.750 0.750

---

No. 3
The following is a DFT calculation (PBE) of an optimized crystal structure of Mg2In2GaPt4.

Calculated values
DOS(E_F) ... 3.3 states/eV/f.u.
ΔE_f ... -32 kJ per mole of atoms
Theoretical density ... 11.21 g cm⁻³

Unit cell a=6.117 b=6.117 c=6.117 alpha=94.05 beta=117.69 gamma=117.69
Fractional positions:
Mg1 0.000 0.695 0.695
Mg2 0.000 0.305 0.305
In1 0.500 0.750 0.250
In2 0.500 0.250 0.750
Ga1 0.000 0.000 0.000
Pt1 0.000 0.732 0.268
Pt2 0.465 0.732 0.732
Pt3 0.000 0.268 0.732
Pt4 0.535 0.268 0.268